## BaMg6Sn2 (GGA-PBE)

Data for a relaxed BaMg6Sn2 crystal.

Lattice parameters (Å, degrees): 4.8523 4.8523 10.3140 90.00 90.00 90.00
Space group P4/mmm (No. 123)
Asymmetric unit:
Ba  0.0000  0.0000  0.0000 (multiplicity 1)
Mg  0.0000  0.0000  0.5000 (multiplicity 1)
Mg  0.0000  0.5000  0.3064 (multiplicity 4)
Mg  0.5000  0.5000  0.5000 (multiplicity 1)
Sn  0.5000  0.5000  0.1463 (multiplicity 2)

Computed properties:
Crystal system: tetragonal
DFT formation energy (eV per formula unit): -2.2
Electronic total energy (eV/atom): -2.414


## Ba3Mg2Sn4 (GGA-PBE)

Data for a relaxed Ba3Mg2Sn4 crystal.

Lattice parameters (Å, degrees): 12.8466 5.0096 9.7330 90.00 102.51 90.00
Space group C2/m (No. 12)
Asymmetric unit:
Ba  0.0000  0.0000  0.0000 (multiplicity 2)
Ba  0.1131  0.5000  0.7011 (multiplicity 4)
Mg  0.1973  0.5000  0.3707 (multiplicity 4)
Sn  0.0854  0.0000  0.4092 (multiplicity 4)
Sn  0.2128  0.5000  0.0680 (multiplicity 4)

Computed properties:
Crystal system: monoclinic
DFT formation energy (eV per formula unit): -5.1
Electronic total energy (eV/atom): -3.337


## Ba3Mg4Sn4 (GGA-PBE)

Data for a relaxed Ba3Mg4Sn4 crystal.

Lattice parameters (Å, degrees): 5.1550 7.9206 16.7432 90.00 90.00 90.00
Space group Immm (No. 71)
Asymmetric unit:
Ba  0.0000  0.0000  0.0000 (multiplicity 2)
Ba  0.0000  0.5000  0.1235 (multiplicity 4)
Mg  0.0000  0.3042  0.3303 (multiplicity 8)
Sn  0.0000  0.0000  0.2179 (multiplicity 4)
Sn  0.0000  0.1873  0.5000 (multiplicity 4)

Computed properties:
Crystal system: orthorhombic
DFT formation energy (eV per formula unit): -5.8
Electronic total energy (eV/atom): -3.084


## BaMg2Sn (GGA-PBE)

Data for a relaxed BaMg2Sn crystal.

Lattice parameters (Å, degrees): 3.4761 3.4761 35.4604 90.00 90.00 120.00
Space group R-3m (No. 166, hexagonal axes)
Asymmetric unit:
Ba  0.0000  0.0000  0.0000 (multiplicity 3)
Mg  0.0000  0.0000  0.0982 (multiplicity 6)
Sn  0.0000  0.0000  0.5000 (multiplicity 3)

Computed properties:
Crystal system: trigonal
DFT formation energy (eV per formula unit): 0.9
Electronic total energy (eV/atom): -2.065


> Which of these has the lowest DFT formation energy?

Ba3Mg4Sn4